Record 1
Computed, not measured: a geometry-optimized GaTc2NiC structure at the PBE level of DFT.

Cell lengths 4.1001, 4.1001, 3.7259 Å; angles 90.00, 90.00, 90.00 degrees
Sites, in units of the cell vectors:
Ni1 0.0000 0.0000 0.5000
C1 0.0000 0.0000 0.0000
Tc1 0.0000 0.5000 0.0000
Tc2 0.5000 0.0000 0.0000
Ga1 0.5000 0.5000 0.5000

The density of states at the Fermi level is 3.3 states/eV/f.u. The calculation puts the uncorrected energy at -38.66 eV per formula unit. Its formation energy is 21 meV per atom.



Record 2
Computed, not measured: a geometry-optimized Be6ZnRh5 structure at the PBE level of DFT.

Cell lengths 3.9250, 5.6505, 6.7754 Å; angles 114.64, 106.84, 90.00 degrees
Sites, in units of the cell vectors:
Be1 0.8244 0.5578 0.6487
Be2 0.8243 0.0910 0.6487
Be3 0.4999 0.7177 0.0000
Be4 0.5001 0.2823 0.0000
Be5 0.1757 0.9090 0.3513
Be6 0.1756 0.4422 0.3513
Zn1 0.0000 0.0000 0.0000
Rh1 0.6499 0.1499 0.2999
Rh2 0.3290 0.3290 0.6581
Rh3 0.0000 0.5000 0.0000
Rh4 0.6710 0.6710 0.3419
Rh5 0.3501 0.8501 0.7001

The density of states at the Fermi level is 2.3 states/eV/f.u. The calculation puts the uncorrected energy at -67.94 eV per formula unit. Its formation energy is -630 meV per atom.